(1)
The following is a DFT calculation (PBE-GGA) of a relaxed Cs2TbMgF6 crystal.

Cell: 6.6407 6.0963 8.7475 Å, 90.00 90.00 90.00°
Site moments in Bohr magnetons follow the coordinates.
Atoms (fractional coordinates):
Cs: 0.5000 0.7500 0.2567  0.03
Cs: 0.0000 0.2500 0.7567  0.03
Cs: 0.5000 0.7500 0.7433  0.03
Cs: 0.0000 0.2500 0.2433  0.03
F: 0.7859 0.5009 0.5000  0.01
F: 0.7141 0.0009 0.0000  0.01
F: 0.5000 0.2500 0.2414  0.00
F: 0.7859 0.9991 0.5000  0.01
F: 0.2141 0.5009 0.5000  0.01
F: 0.2141 0.9991 0.5000  0.01
F: 0.7141 0.4991 0.0000  0.01
F: 0.0000 0.7500 0.7414  0.00
F: 0.2859 0.0009 0.0000  0.01
F: 0.0000 0.7500 0.2586  0.00
F: 0.5000 0.2500 0.7586  0.00
F: 0.2859 0.4991 0.0000  0.01
Mg: 0.0000 0.7500 0.5000  0.00
Mg: 0.5000 0.2500 0.0000  0.00
Tb: 0.0000 0.7500 0.0000  0.56
Tb: 0.5000 0.2500 0.5000  0.56

Summary:
Uncorrected formation energy in kJ/mol of atoms: -299.2
Space group: Immm

=====

(2)
The following is a DFT calculation (PBE-GGA) of a relaxed K2SrZn crystal.

Cell: 4.2830 4.2830 10.7285 Å, 90.00 90.00 90.13°
Atoms (fractional coordinates):
K: 0.0000 0.0000 0.5600
K: 0.0000 0.0000 0.9400
Sr: 0.5000 0.5000 0.2500
Zn: 0.5000 0.5000 0.7500

Summary:
Energy of formation from the pure elements in meV per atom: 172
Space group: Cmmm

=====

(3)
The following is a DFT calculation (PBE-GGA) of a relaxed La2CdCoSb crystal.

Cell: 5.2354 5.2354 4.9706 Å, 90.00 90.00 90.00°
Atoms (fractional coordinates):
Co: 0.0000 0.0000 0.0000
Sb: 0.5000 0.5000 0.5000
La: 0.0000 0.5000 0.0000
La: 0.5000 0.0000 0.0000
Cd: 0.0000 0.0000 0.5000

Summary:
Uncorrected formation energy in kJ/mol of atoms: -50.6
Space group: P4/mmm

=====

(4)
The following is a DFT calculation (PBE-GGA) of a relaxed AcCdInPd2 crystal.

Cell: 6.0526 5.8923 7.4407 Å, 113.33 90.00 90.00°
Atoms (fractional coordinates):
In: 0.5000 0.7500 0.0000
In: 0.5000 0.2500 0.0000
Pd: 0.7080 0.8491 0.6981
Pd: 0.2920 0.3491 0.6981
Pd: 0.7080 0.6509 0.3019
Pd: 0.2920 0.1509 0.3019
Ac: 0.2375 0.7500 0.5000
Ac: 0.7625 0.2500 0.5000
Cd: 0.0000 0.0000 0.0000
Cd: 0.0000 0.5000 0.0000

Summary:
Energy of formation from the pure elements in meV per atom: -515
Space group: Cmme

=====

(5)
The following is a DFT calculation (PBE-GGA) of a relaxed PaTaSeO4 crystal.

Cell: 6.4803 6.4803 6.9195 Å, 73.13 73.13 69.24°
Atoms (fractional coordinates):
Se: 0.0065 0.0065 0.2443
Se: 0.9935 0.9935 0.7557
O: 0.5116 0.9169 0.8226
O: 0.4884 0.0831 0.1774
O: 0.4344 0.4344 0.8654
O: 0.6729 0.6729 0.4778
O: 0.5656 0.5656 0.1346
O: 0.3271 0.3271 0.5222
O: 0.0831 0.4884 0.1774
O: 0.9169 0.5116 0.8226
Ta: 0.3750 0.3750 0.2360
Ta: 0.6250 0.6250 0.7640
Pa: 0.7801 0.7801 0.1443
Pa: 0.2199 0.2199 0.8557

Summary:
Uncorrected formation energy in kJ/mol of atoms: -260.0
Space group: C2/m

=====

(6)
The following is a DFT calculation (PBE-GGA) of a relaxed Ho5ThSe6 crystal.

Cell: 7.0945 7.0945 7.0708 Å, 99.73 99.73 120.38°
Atoms (fractional coordinates):
Ho: 0.6664 0.3336 0.0000
Ho: 0.1627 0.8373 0.5000
Ho: 0.8373 0.1627 0.5000
Ho: 0.5000 0.5000 0.5000
Ho: 0.3336 0.6664 0.0000
Se: 0.2582 0.2582 0.7468
Se: 0.5720 0.9150 0.7439
Se: 0.7418 0.7418 0.2532
Se: 0.9150 0.5720 0.7439
Se: 0.0850 0.4280 0.2561
Se: 0.4280 0.0850 0.2561
Th: 0.0000 0.0000 0.0000

Summary:
Uncorrected formation energy in kJ/mol of atoms: -162.0
Space group: C2/m

=====

Number 1: electronic total energy -5.016 eV per atom. Number 2: electronic total energy -1.116 eV per atom. Number 3: electronic total energy -4.924 eV per atom. Number 4: electronic total energy -4.144 eV per atom. Number 5: electronic total energy -9.075 eV per atom. Number 6: electronic total energy -5.947 eV per atom.